A plane-wave DFT calculation with PBE was carried out for a relaxed Mg2ZnGe2 crystal.

Cell lengths 8.1740, 8.1740, 2.9616 Å; angles 90.00, 90.00, 90.00 degrees
Space group P4/mbm (No. 127)
Symmetry-distinct sites (fractional):
Mg  0.1400  0.3600  0.0000 [4 per cell]
Zn  0.0000  0.0000  0.5000 [2 per cell]
Ge  0.1591  0.6591  0.5000 [4 per cell]

Computed properties:
Energy above the most stable polymorph in this dataset in meV per atom: 0
Calculated formation energy in eV per atom: 0.019
Total DFT energy (no corrections) in eV/atom: -2.7208

A plane-wave DFT calculation with PBE was carried out for a relaxed Mg2ZnGe2 crystal.

Cell lengths 4.4265, 4.4265, 11.0452 Å; angles 90.00, 90.00, 90.00 degrees
Space group I4/mmm (No. 139)
Symmetry-distinct sites (fractional):
Mg  0.0000  0.5000  0.2500 [4 per cell]
Zn  0.0000  0.0000  0.0000 [2 per cell]
Ge  0.0000  0.0000  0.3921 [4 per cell]

Computed properties:
Energy above the most stable polymorph in this dataset in meV per atom: 96
Calculated formation energy in eV per atom: 0.114
Total DFT energy (no corrections) in eV/atom: -2.6251

A plane-wave DFT calculation with PBE was carried out for a relaxed MgZnGe crystal.

Cell lengths 4.3229, 4.3929, 7.3404 Å; angles 75.61, 73.98, 61.16 degrees
Space group P-1 (No. 2)
Symmetry-distinct sites (fractional):
Mg  0.2208  0.2029  0.3445 [2 per cell]
Zn  0.3724  0.3778  0.8790 [2 per cell]
Ge  0.0000  0.0000  0.0000 [1 per cell]
Ge  0.5000  0.5000  0.5000 [1 per cell]

Computed properties:
Calculated formation energy in eV per atom: 0.031
Total DFT energy (no corrections) in eV/atom: -2.4639

A plane-wave DFT calculation with PBE was carried out for a relaxed MgZrGe3 crystal.

Cell lengths 4.8564, 4.8564, 4.8564 Å; angles 90.00, 90.00, 90.00 degrees
Space group Pm-3m (No. 221)
Symmetry-distinct sites (fractional):
Mg  0.0000  0.0000  0.0000 [1 per cell]
Zr  0.5000  0.5000  0.5000 [1 per cell]
Ge  0.0000  0.0000  0.5000 [3 per cell]

Computed properties:
Energy above the most stable polymorph in this dataset in meV per atom: 311
Calculated formation energy in eV per atom: 0.691
Total DFT energy (no corrections) in eV/atom: -4.1084

A plane-wave DFT calculation with PBE was carried out for a relaxed MgZrGe2 crystal.

Cell lengths 7.3232, 7.3232, 6.0466 Å; angles 90.00, 90.00, 90.00 degrees
Space group I-42d (No. 122)
Symmetry-distinct sites (fractional):
Mg  0.0000  0.0000  0.0000 [4 per cell]
Zr  0.0000  0.0000  0.5000 [4 per cell]
Ge  0.2382  0.2500  0.1250 [8 per cell]

Computed properties:
Calculated formation energy in eV per atom: -0.087
Total DFT energy (no corrections) in eV/atom: -4.9316

A plane-wave DFT calculation with PBE was carried out for a relaxed MgZrGe2 crystal.

Cell lengths 4.4182, 4.4182, 3.8474 Å; angles 90.00, 90.00, 90.00 degrees
Space group P4/mmm (No. 123)
Symmetry-distinct sites (fractional):
Mg  0.0000  0.0000  0.0000 [1 per cell]
Zr  0.5000  0.5000  0.0000 [1 per cell]
Ge  0.0000  0.5000  0.5000 [2 per cell]

Computed properties:
Calculated formation energy in eV per atom: -0.345
Total DFT energy (no corrections) in eV/atom: -5.1895

A plane-wave DFT calculation with PBE was carried out for a relaxed MgZr2Ge crystal.

Cell lengths 7.7498, 7.7498, 5.8006 Å; angles 90.00, 90.00, 90.00 degrees
Space group I-42d (No. 122)
Symmetry-distinct sites (fractional):
Mg  0.0000  0.0000  0.0000 [4 per cell]
Zr  0.2262  0.2500  0.6250 [8 per cell]
Ge  0.0000  0.0000  0.5000 [4 per cell]

Computed properties:
Calculated formation energy in eV per atom: -0.028
Total DFT energy (no corrections) in eV/atom: -5.8549

A plane-wave DFT calculation with PBE was carried out for a relaxed MgZrGe3 crystal.

Cell lengths 5.2032, 5.2032, 5.2032 Å; angles 90.00, 90.00, 90.00 degrees
Space group Pm-3m (No. 221)
Symmetry-distinct sites (fractional):
Mg  0.0000  0.0000  0.0000 [1 per cell]
Zr  0.5000  0.5000  0.5000 [1 per cell]
Ge  0.0000  0.5000  0.5000 [3 per cell]

Computed properties:
Energy above the most stable polymorph in this dataset in meV per atom: 0
Calculated formation energy in eV per atom: 0.380
Total DFT energy (no corrections) in eV/atom: -4.4190

A plane-wave DFT calculation with PBE was carried out for a relaxed MgZrGe2 crystal.

Cell lengths 4.4226, 4.4226, 13.7708 Å; angles 90.00, 90.00, 120.00 degrees
Space group R-3m (No. 166, hexagonal axes)
Symmetry-distinct sites (fractional):
Mg  0.0000  0.0000  0.0000 [3 per cell]
Zr  0.0000  0.0000  0.5000 [3 per cell]
Ge  0.0000  0.0000  0.2584 [6 per cell]

Computed properties:
Calculated formation energy in eV per atom: -0.219
Total DFT energy (no corrections) in eV/atom: -5.0635

A plane-wave DFT calculation with PBE was carried out for a relaxed Mg2Zr2Ge crystal.

Cell lengths 6.9973, 6.9973, 4.8199 Å; angles 90.00, 90.00, 90.00 degrees
Space group P4/mbm (No. 127)
Symmetry-distinct sites (fractional):
Mg  0.1530  0.3470  0.0000 [4 per cell]
Zr  0.1501  0.6501  0.5000 [4 per cell]
Ge  0.0000  0.0000  0.5000 [2 per cell]

Computed properties:
Calculated formation energy in eV per atom: -0.020
Total DFT energy (no corrections) in eV/atom: -5.0007

A plane-wave DFT calculation with PBE was carried out for a relaxed Mn3Ge crystal.

Cell lengths 2.6977, 2.6977, 24.0868 Å; angles 90.00, 90.00, 120.00 degrees
Space group R-3m (No. 166, hexagonal axes)
Symmetry-distinct sites (fractional):
Mn  0.0000  0.0000  0.0000 [3 per cell]
Mn  0.0000  0.0000  0.2525 [6 per cell]
Ge  0.0000  0.0000  0.5000 [3 per cell]

Computed properties:
Calculated formation energy in eV per atom: 0.181
Total DFT energy (no corrections) in eV/atom: -7.8507

A plane-wave DFT calculation with PBE was carried out for a relaxed Mn2Ge crystal.

Cell lengths 2.8377, 2.8377, 8.6835 Å; angles 90.00, 90.00, 90.00 degrees
Space group I4/mmm (No. 139)
Symmetry-distinct sites (fractional):
Mn  0.0000  0.0000  0.1671 [4 per cell]
Ge  0.0000  0.0000  0.5000 [2 per cell]

Computed properties:
Calculated formation energy in eV per atom: 0.033
Total DFT energy (no corrections) in eV/atom: -7.6196

A plane-wave DFT calculation with PBE was carried out for a relaxed Mn2Ge crystal.

Cell lengths 5.5996, 5.5996, 5.5996 Å; angles 90.00, 90.00, 90.00 degrees
Space group F-43m (No. 216)
Symmetry-distinct sites (fractional):
Mn  0.0000  0.0000  0.0000 [4 per cell]
Mn  0.2500  0.2500  0.2500 [4 per cell]
Ge  0.2500  0.2500  0.7500 [4 per cell]

Computed properties:
Calculated formation energy in eV per atom: 0.057
Total DFT energy (no corrections) in eV/atom: -7.5948

A plane-wave DFT calculation with PBE was carried out for a relaxed Mn2Ge crystal.

Cell lengths 5.2619, 5.2619, 4.1498 Å; angles 90.00, 90.00, 90.00 degrees
Space group P4_2/mnm (No. 136)
Symmetry-distinct sites (fractional):
Mn  0.1788  0.1788  0.0000 [4 per cell]
Ge  0.0000  0.0000  0.5000 [2 per cell]

Computed properties:
Calculated formation energy in eV per atom: 0.601
Total DFT energy (no corrections) in eV/atom: -7.0508

A plane-wave DFT calculation with PBE was carried out for a relaxed Mn11Ge3 crystal.

Cell lengths 2.7026, 10.9941, 11.5505 Å; angles 90.00, 90.00, 90.00 degrees
Space group Immm (No. 71)
Symmetry-distinct sites (fractional):
Mn  0.0000  0.0000  0.0000 [2 per cell]
Mn  0.0000  0.1312  0.3747 [8 per cell]
Mn  0.0000  0.1913  0.1755 [8 per cell]
Mn  0.0000  0.3078  0.5000 [4 per cell]
Ge  0.0000  0.5000  0.0000 [2 per cell]
Ge  0.0000  0.5000  0.3051 [4 per cell]

Computed properties:
Calculated formation energy in eV per atom: 0.151
Total DFT energy (no corrections) in eV/atom: -8.0433

A plane-wave DFT calculation with PBE was carried out for a relaxed MnGe2 crystal.

Cell lengths 3.2632, 3.2632, 8.0746 Å; angles 90.00, 90.00, 90.00 degrees
Space group I4/mmm (No. 139)
Symmetry-distinct sites (fractional):
Mn  0.0000  0.0000  0.0000 [2 per cell]
Ge  0.0000  0.0000  0.3411 [4 per cell]

Computed properties:
Calculated formation energy in eV per atom: 0.088
Total DFT energy (no corrections) in eV/atom: -6.0467

A plane-wave DFT calculation with PBE was carried out for a relaxed Mn3Ge crystal.

Cell lengths 5.7353, 5.7353, 5.7353 Å; angles 90.00, 90.00, 90.00 degrees
Space group Fm-3m (No. 225)
Symmetry-distinct sites (fractional):
Mn  0.0000  0.0000  0.0000 [4 per cell]
Mn  0.2500  0.2500  0.2500 [8 per cell]
Ge  0.0000  0.0000  0.5000 [4 per cell]

Computed properties:
Calculated formation energy in eV per atom: -0.103
Total DFT energy (no corrections) in eV/atom: -8.1345

A plane-wave DFT calculation with PBE was carried out for a relaxed Mn4Ge crystal.

Cell lengths 4.5453, 4.5453, 4.5453 Å; angles 90.00, 90.00, 90.00 degrees
Space group Pm-3m (No. 221)
Symmetry-distinct sites (fractional):
Mn  0.0000  0.0000  0.0000 [1 per cell]
Mn  0.0000  0.5000  0.5000 [3 per cell]
Ge  0.5000  0.5000  0.5000 [1 per cell]

Computed properties:
Calculated formation energy in eV per atom: 0.941
Total DFT energy (no corrections) in eV/atom: -7.3185

A plane-wave DFT calculation with PBE was carried out for a relaxed Mn3Ge crystal.

Cell lengths 5.1572, 5.1572, 4.1738 Å; angles 90.00, 90.00, 120.00 degrees
Space group P6_3/mmc (No. 194)
Symmetry-distinct sites (fractional):
Mn  0.1611  0.3223  0.2500 [6 per cell]
Ge  0.3333  0.6667  0.7500 [2 per cell]

Computed properties:
Calculated formation energy in eV per atom: -0.033
Total DFT energy (no corrections) in eV/atom: -8.0642

A plane-wave DFT calculation with PBE was carried out for a relaxed Mn2Ge crystal.

Cell lengths 4.1892, 4.1892, 5.1035 Å; angles 90.00, 90.00, 120.00 degrees
Space group P6_3/mmc (No. 194)
Symmetry-distinct sites (fractional):
Mn  0.0000  0.0000  0.0000 [2 per cell]
Mn  0.3333  0.6667  0.2500 [2 per cell]
Ge  0.3333  0.6667  0.7500 [2 per cell]

Computed properties:
Calculated formation energy in eV per atom: -0.031
Total DFT energy (no corrections) in eV/atom: -7.6834

A plane-wave DFT calculation with PBE was carried out for a relaxed Mn13Ge2 crystal.

Cell lengths 5.5969, 5.8058, 6.7016 Å; angles 114.03, 114.23, 91.51 degrees
Space group P-1 (No. 2)
Symmetry-distinct sites (fractional):
Mn  0.0000  0.0000  0.0000 [1 per cell]
Mn  0.0566  0.4544  0.3187 [2 per cell]
Mn  0.1164  0.9315  0.6624 [2 per cell]
Mn  0.1980  0.3999  0.9988 [2 per cell]
Mn  0.2513  0.8563  0.3182 [2 per cell]
Mn  0.3239  0.3328  0.6739 [2 per cell]
Mn  0.3971  0.7938  0.9964 [2 per cell]
Ge  0.4728  0.2509  0.3298 [2 per cell]

Computed properties:
Calculated formation energy in eV per atom: 0.018
Total DFT energy (no corrections) in eV/atom: -8.5442

A plane-wave DFT calculation with PBE was carried out for a relaxed Mn2Ge crystal.

Cell lengths 3.5771, 3.5771, 12.6555 Å; angles 90.00, 90.00, 90.00 degrees
Space group I4/mmm (No. 139)
Symmetry-distinct sites (fractional):
Mn  0.0000  0.0000  0.1666 [4 per cell]
Mn  0.0000  0.5000  0.0000 [4 per cell]
Ge  0.0000  0.0000  0.3611 [4 per cell]

Computed properties:
Calculated formation energy in eV per atom: -0.036
Total DFT energy (no corrections) in eV/atom: -7.6882

A plane-wave DFT calculation with PBE was carried out for a relaxed Mn3Ge5 crystal.

Cell lengths 5.6954, 5.6954, 13.8156 Å; angles 90.00, 90.00, 90.00 degrees
Space group P-4n2 (No. 118)
Symmetry-distinct sites (fractional):
Mn  0.0000  0.0000  0.0000 [2 per cell]
Mn  0.0000  0.0000  0.3273 [4 per cell]
Mn  0.0000  0.5000  0.2500 [2 per cell]
Mn  0.0000  0.5000  0.5868 [4 per cell]
Ge  0.1567  0.2668  0.4496 [8 per cell]
Ge  0.1598  0.8051  0.1508 [8 per cell]
Ge  0.1708  0.6708  0.7500 [4 per cell]

Computed properties:
Calculated formation energy in eV per atom: -0.078
Total DFT energy (no corrections) in eV/atom: -6.4023

A plane-wave DFT calculation with PBE was carried out for a relaxed Mn3Ge crystal.

Cell lengths 3.6448, 3.6448, 3.6448 Å; angles 90.00, 90.00, 90.00 degrees
Space group Pm-3m (No. 221)
Symmetry-distinct sites (fractional):
Mn  0.0000  0.0000  0.5000 [3 per cell]
Ge  0.5000  0.5000  0.5000 [1 per cell]

Computed properties:
Calculated formation energy in eV per atom: -0.022
Total DFT energy (no corrections) in eV/atom: -8.0533

A plane-wave DFT calculation with PBE was carried out for a relaxed MnGe4 crystal.

Cell lengths 4.6347, 4.6347, 4.6347 Å; angles 90.00, 90.00, 90.00 degrees
Space group Pm-3m (No. 221)
Symmetry-distinct sites (fractional):
Mn  0.0000  0.0000  0.0000 [1 per cell]
Ge  0.0000  0.0000  0.5000 [3 per cell]
Ge  0.5000  0.5000  0.5000 [1 per cell]

Computed properties:
Calculated formation energy in eV per atom: 0.365
Total DFT energy (no corrections) in eV/atom: -5.1628